Computed, not measured: a relaxed AcGaF6 crystal at the PBE-GGA level of DFT.

Unit cell a=4.7797 b=4.7797 c=4.7797 alpha=98.06 beta=98.06 gamma=98.06
Fractional positions:
Ac1 0.0000 0.0000 0.0000
Ga1 0.5000 0.5000 0.5000
F1 0.2100 0.2100 0.5683
F2 0.2100 0.5683 0.2100
F3 0.4317 0.7900 0.7900
F4 0.5683 0.2100 0.2100
F5 0.7900 0.4317 0.7900
F6 0.7900 0.7900 0.4317

## Properties
As for the crystal system: trigonal. Its final energy is -5.70 eV/atom. The value obtained for the volume is 13.201 Å³/atom.

***

Computed, not measured: a relaxed MnNbZnCo2 crystal at the PBE-GGA level of DFT.

Unit cell a=4.3554 b=4.3554 c=4.8872 alpha=90.00 beta=90.00 gamma=90.00
Fractional positions:
Mn1 0.0000 0.0000 0.0000
Nb1 0.5000 0.5000 0.5000
Zn1 0.5000 0.5000 0.0000
Co1 0.0000 0.5000 0.5000
Co2 0.5000 0.0000 0.5000

## Properties
As for the crystal system: tetragonal. Its final energy is -5.14 eV/atom. The value obtained for the volume is 18.542 Å³/atom.

***

Computed, not measured: a relaxed NdHg2IO6 crystal at the PBE-GGA level of DFT.

Unit cell a=6.1944 b=6.1944 c=6.1944 alpha=57.12 beta=57.12 gamma=57.12
Fractional positions:
Nd1 0.0000 0.0000 0.0000
Hg1 0.2478 0.2478 0.2478
Hg2 0.7839 0.7839 0.7839
I1 0.4922 0.4922 0.4922
O1 0.1564 0.7027 0.3911
O2 0.2224 0.6156 0.8682
O3 0.3911 0.1564 0.7027
O4 0.6156 0.8682 0.2224
O5 0.7027 0.3911 0.1564
O6 0.8682 0.2224 0.6156

## Properties
As for the crystal system: trigonal. Its final energy is -4.68 eV/atom. The value obtained for the volume is 15.693 Å³/atom.